1.
# Tl2Cu2AuI6

A geometry-optimized Tl2Cu2AuI6 structure (PBE, the Alexandria database).

The structure in CIF format:
```
data_Tl2Cu2AuI6
_cell_length_a 7.805
_cell_length_b 8.760
_cell_length_c 7.253
_cell_angle_alpha 106.27
_cell_angle_beta 90.00
_cell_angle_gamma 116.46
_symmetry_space_group_name_H-M 'P 1'
_symmetry_Int_Tables_number 1
loop_
_symmetry_equiv_pos_as_xyz
'x,y,z'
loop_
_atom_site_label
_atom_site_type_symbol
_atom_site_fract_x
_atom_site_fract_y
_atom_site_fract_z
Cu1 Cu 0.035 0.069 0.199
Cu2 Cu 0.965 0.931 0.801
Tl1 Tl 0.258 0.517 0.791
Tl2 Tl 0.742 0.483 0.209
I1 I 0.204 0.407 0.300
I2 I 0.813 0.135 0.789
I3 I 0.322 0.135 0.789
I4 I 0.187 0.865 0.211
I5 I 0.796 0.593 0.700
I6 I 0.678 0.865 0.211
Au1 Au 0.500 0.000 0.500
```

Summary:
Crystal system: monoclinic
Formation energy without anion corrections, meV per atom: -264
SG: C2/m
Fermi-level density of states, states/eV/f.u.: 3.18


2.
# Al2MoCl

A geometry-optimized Al2MoCl structure (PBE, the Alexandria database).

The structure in CIF format:
```
data_Al2MoCl
_cell_length_a 4.563
_cell_length_b 4.563
_cell_length_c 4.563
_cell_angle_alpha 60.00
_cell_angle_beta 60.00
_cell_angle_gamma 60.00
_symmetry_space_group_name_H-M 'P 1'
_symmetry_Int_Tables_number 1
loop_
_symmetry_equiv_pos_as_xyz
'x,y,z'
loop_
_atom_site_label
_atom_site_type_symbol
_atom_site_fract_x
_atom_site_fract_y
_atom_site_fract_z
Al1 Al 0.250 0.250 0.250
Al2 Al 0.000 0.000 0.000
Mo1 Mo 0.750 0.750 0.750
Cl1 Cl 0.500 0.500 0.500
```

Summary:
Crystal system: cubic
Formation energy without anion corrections, meV per atom: 560
SG: F-43m
Fermi-level density of states, states/eV/f.u.: 5.06


3.
# MgIrRu2

A geometry-optimized MgIrRu2 structure (PBE, the Alexandria database).

The structure in CIF format:
```
data_MgIrRu2
_cell_length_a 4.369
_cell_length_b 4.369
_cell_length_c 4.369
_cell_angle_alpha 60.00
_cell_angle_beta 60.00
_cell_angle_gamma 60.00
_symmetry_space_group_name_H-M 'P 1'
_symmetry_Int_Tables_number 1
loop_
_symmetry_equiv_pos_as_xyz
'x,y,z'
loop_
_atom_site_label
_atom_site_type_symbol
_atom_site_fract_x
_atom_site_fract_y
_atom_site_fract_z
Ir1 Ir 0.500 0.500 0.500
Ru1 Ru 0.000 0.000 0.000
Ru2 Ru 0.250 0.250 0.250
Mg1 Mg 0.750 0.750 0.750
```

Summary:
Crystal system: cubic
Energy of formation from the pure elements, eV per atom: 0.19
SG: F-43m
Fermi-level density of states, states/eV/f.u.: 4.86


4.
# CuTcP

A geometry-optimized CuTcP structure (PBE, the Alexandria database).

The structure in CIF format:
```
data_CuTcP
_cell_length_a 4.893
_cell_length_b 4.893
_cell_length_c 4.893
_cell_angle_alpha 144.33
_cell_angle_beta 144.33
_cell_angle_gamma 51.34
_symmetry_space_group_name_H-M 'P 1'
_symmetry_Int_Tables_number 1
loop_
_symmetry_equiv_pos_as_xyz
'x,y,z'
loop_
_atom_site_label
_atom_site_type_symbol
_atom_site_fract_x
_atom_site_fract_y
_atom_site_fract_z
Tc1 Tc 0.688 0.688 0.000
P1 P 0.322 0.322 0.000
Cu1 Cu 0.990 0.990 0.000
```

Summary:
Crystal system: tetragonal
Energy of formation from the pure elements, eV per atom: -0.05
SG: I4mm
Fermi-level density of states, states/eV/f.u.: 3.34


5.
# BaSb2AuI

A geometry-optimized BaSb2AuI structure (PBE, the Alexandria database).

The structure in CIF format:
```
data_BaSb2AuI
_cell_length_a 6.984
_cell_length_b 6.488
_cell_length_c 6.984
_cell_angle_alpha 90.00
_cell_angle_beta 90.00
_cell_angle_gamma 90.00
_symmetry_space_group_name_H-M 'P 1'
_symmetry_Int_Tables_number 1
loop_
_symmetry_equiv_pos_as_xyz
'x,y,z'
loop_
_atom_site_label
_atom_site_type_symbol
_atom_site_fract_x
_atom_site_fract_y
_atom_site_fract_z
Ba1 Ba 0.000 0.000 0.000
Sb1 Sb 0.500 0.000 0.000
Sb2 Sb 0.000 0.000 0.500
I1 I 0.000 0.500 0.000
Au1 Au 0.500 0.500 0.500
```

Summary:
Crystal system: tetragonal
Formation energy without anion corrections, meV per atom: 748
SG: P4/mmm
Fermi-level density of states, states/eV/f.u.: 3.06


6.
# PmTmAsSe

A geometry-optimized PmTmAsSe structure (PBE, the Alexandria database).

The structure in CIF format:
```
data_PmTmAsSe
_cell_length_a 4.049
_cell_length_b 4.050
_cell_length_c 7.545
_cell_angle_alpha 90.00
_cell_angle_beta 105.55
_cell_angle_gamma 120.00
_symmetry_space_group_name_H-M 'P 1'
_symmetry_Int_Tables_number 1
loop_
_symmetry_equiv_pos_as_xyz
'x,y,z'
loop_
_atom_site_label
_atom_site_type_symbol
_atom_site_fract_x
_atom_site_fract_y
_atom_site_fract_z
Tm1 Tm 0.483 0.140 0.638
Pm1 Pm 0.123 0.959 0.097
As1 As 0.298 0.547 0.860
Se1 Se 0.974 0.385 0.375
```

Summary:
Crystal system: trigonal
Formation energy without anion corrections, meV per atom: -1598
SG: R3m
Fermi-level density of states, states/eV/f.u.: 2.50


Asked for uncorrected energy across the records above, the calculation gives -2.5821 -4.4807 -7.0612 -6.6732 -2.2514 -5.9374 eV per atom in order.